# GGA-PBE LaPuIn, optimized geometry
data_LaPuIn
_chemical_formula_sum 'La4 Pu4 In4'
_cell_length_a 7.3208
_cell_length_b 7.3208
_cell_length_c 7.3208
_cell_angle_alpha 90.00
_cell_angle_beta 90.00
_cell_angle_gamma 90.00
_space_group_name_H-M_alt 'F -4 3 m'
_space_group_IT_number 216
_space_group_name_Hall 'F -4 2 3'
loop_
_atom_site_label
_atom_site_type_symbol
_atom_site_fract_x
_atom_site_fract_y
_atom_site_fract_z
La1 La 0.0000 0.0000 0.0000
Pu1 Pu 0.2500 0.2500 0.2500
In1 In 0.2500 0.2500 0.7500
# - M_tot: 2.001 μB/atom
# - Raw total energy: -21.0 eV per formula unit
# - Energy above the lowest structure with this stoichiometry: 0.1711 eV/atom